[1]
Compound: Ca2ErB2Rh5
Source: Alexandria
Functional: PBE
Structure: optimized geometry

Unit cell a=10.0542 b=10.0542 c=3.0866 alpha=90.00 beta=90.00 gamma=90.00
Atoms (fractional coordinates):
Ca 0.1777 0.3223 0.0000
Ca 0.3223 0.8223 0.0000
Ca 0.6777 0.1777 0.0000
Ca 0.8223 0.6777 0.0000
Er 0.0000 0.0000 0.0000
Er 0.5000 0.5000 0.0000
B 0.1196 0.6196 0.0000
B 0.3804 0.1196 0.0000
B 0.6196 0.8804 0.0000
B 0.8804 0.3804 0.0000
Rh 0.0000 0.5000 0.5000
Rh 0.0696 0.7678 0.5000
Rh 0.2322 0.0696 0.5000
Rh 0.2678 0.5696 0.5000
Rh 0.4304 0.2678 0.5000
Rh 0.5000 0.0000 0.5000
Rh 0.5696 0.7322 0.5000
Rh 0.7322 0.4304 0.5000
Rh 0.7678 0.9304 0.5000
Rh 0.9304 0.2322 0.5000

Formation energy from the elements, meV/atom: -597

[2]
Compound: CaBF6
Source: Alexandria
Functional: PBE
Structure: optimized geometry

Unit cell a=5.3538 b=5.3538 c=5.3538 alpha=56.07 beta=56.07 gamma=56.07
Atoms (fractional coordinates):
Ca 0.0000 0.0000 0.0000
B 0.5000 0.5000 0.5000
F 0.1699 0.6912 0.4315
F 0.3088 0.5685 0.8301
F 0.4315 0.1699 0.6912
F 0.5685 0.8301 0.3088
F 0.6912 0.4315 0.1699
F 0.8301 0.3088 0.5685

Calculated total energy, eV per atom: -5.001

[3]
Compound: CaBF5
Source: Alexandria
Functional: PBE
Structure: optimized geometry

Unit cell a=5.1455 b=5.1455 c=7.4853 alpha=111.34 beta=111.34 gamma=71.26
Atoms (fractional coordinates):
Ca 0.0489 0.9511 0.7500
Ca 0.9511 0.0489 0.2500
B 0.5000 0.5000 0.0000
B 0.5000 0.5000 0.5000
F 0.2146 0.7729 0.0295
F 0.2271 0.7854 0.4705
F 0.3001 0.3140 0.4025
F 0.3140 0.3001 0.9025
F 0.4352 0.5648 0.7500
F 0.5648 0.4352 0.2500
F 0.6860 0.6999 0.0975
F 0.6999 0.6860 0.5975
F 0.7729 0.2146 0.5295
F 0.7854 0.2271 0.9705

Distance to the lowest polymorph of the same formula, kJ/mol of formula units: 275

[4]
Compound: CaB2F6
Source: Alexandria
Functional: PBE
Structure: optimized geometry

Unit cell a=6.3553 b=6.3553 c=5.6030 alpha=101.42 beta=101.42 gamma=83.53
Atoms (fractional coordinates):
Ca 0.1814 0.8186 0.7500
Ca 0.8186 0.1814 0.2500
B 0.0427 0.4072 0.8808
B 0.4072 0.0427 0.3808
B 0.5928 0.9573 0.6192
B 0.9573 0.5928 0.1192
F 0.0788 0.1873 0.9423
F 0.1111 0.6164 0.3508
F 0.1873 0.0788 0.4423
F 0.2376 0.4615 0.8210
F 0.3836 0.8889 0.1492
F 0.4615 0.2376 0.3210
F 0.5385 0.7624 0.6790
F 0.6164 0.1111 0.8508
F 0.7624 0.5385 0.1790
F 0.8127 0.9212 0.5577
F 0.8889 0.3836 0.6492
F 0.9212 0.8127 0.0577

Calculated total energy, eV per atom: -5.861

Number 1: N(E_F) 3.19 states/eV/f.u.. Number 2: N(E_F) 8.93 states/eV/f.u.. Number 3: N(E_F) 0.00 states/eV/f.u.. Number 4: N(E_F) 0.00 states/eV/f.u..